[1]
Compound: Tc2AsN
Source: Alexandria via LeMat-Bulk
Functional: GGA-PBE
Structure: optimized geometry

Summary:
* crystal system: cubic
* energy relative to the elements, uncorrected: 2.610 eV per formula unit
* theoretical density: 9.5 g cm⁻³
* distance to the lowest polymorph of the same formula: 0.473 eV per atom

CIF file:
```
data_Tc2AsN
_chemical_formula_sum 'Tc8 As4 N4'
_cell_length_a 5.850
_cell_length_b 5.850
_cell_length_c 5.850
_cell_angle_alpha 90.00
_cell_angle_beta 90.00
_cell_angle_gamma 90.00
_symmetry_space_group_name_H-M 'F m -3 m'
_symmetry_Int_Tables_number 225
_symmetry_space_group_name_Hall '-F 4 2 3'
loop_
_atom_site_label
_atom_site_fract_x
_atom_site_fract_y
_atom_site_fract_z
Tc1 0.250 0.250 0.250
As1 0.000 0.000 0.000
N1 0.000 0.000 0.500
```


[2]
Compound: Ce2Dy5Er12
Source: Alexandria via LeMat-Bulk
Functional: GGA-PBE
Structure: optimized geometry

Summary:
* crystal system: triclinic
* theoretical density: 8.8 g cm⁻³
* distance to the lowest polymorph of the same formula: 0.000 eV per atom

CIF file:
```
data_Ce2Dy5Er12
_chemical_formula_sum 'Ce2 Dy5 Er12'
_cell_length_a 6.131
_cell_length_b 10.032
_cell_length_c 10.425
_cell_angle_alpha 66.85
_cell_angle_beta 84.70
_cell_angle_gamma 87.40
_symmetry_space_group_name_H-M 'P -1'
_symmetry_Int_Tables_number 2
loop_
_symmetry_equiv_pos_as_xyz
'x,y,z'
'-x,-y,-z'
loop_
_atom_site_label
_atom_site_fract_x
_atom_site_fract_y
_atom_site_fract_z
Ce1 0.199 0.485 0.043
Dy1 0.080 0.493 0.339
Dy2 0.403 0.002 0.164
Dy3 0.500 0.000 0.500
Er1 0.026 0.153 0.340
Er2 0.094 0.834 0.994
Er3 0.110 0.170 0.669
Er4 0.391 0.671 0.474
Er5 0.414 0.330 0.842
Er6 0.451 0.703 0.767
```


| no. | DOS at the Fermi energy (states/eV/atom) |
| --- | --- |
| 1 | 0.94 |
| 2 | 1.67 |